# PuCuRe (PBE-GGA, optimized geometry)
# **Crystal system**: cubic
# **E above lowest polymorph**: 0.0 meV per atom
data_PuCuRe
_chemical_formula_sum 'Pu4 Cu4 Re4'
_symmetry_space_group_name_H-M 'F -4 3 m'
_symmetry_Int_Tables_number 216
_symmetry_space_group_name_Hall 'F -4 2 3'
_cell_length_a 6.1178
_cell_length_b 6.1178
_cell_length_c 6.1178
_cell_angle_alpha 90.00
_cell_angle_beta 90.00
_cell_angle_gamma 90.00
loop_
_atom_site_label
_atom_site_type_symbol
_atom_site_fract_x
_atom_site_fract_y
_atom_site_fract_z
Pu1 Pu 0.0000 0.0000 0.0000
Cu1 Cu 0.0000 0.0000 0.5000
Re1 Re 0.2500 0.2500 0.2500